1.
3
Lattice="0.000 3.212 3.212 3.212 0.000 3.212 3.212 3.212 0.000" Properties=species:S:1:pos:R:3 comment="GGA-PBE TlTcSe, relaxed" volume_a3_per_atom=22.1 dos_at_fermi_per_ev_atom=1.00 pbc="T T T"
Tl 0.000 0.000 0.000
Tc 4.817 4.817 4.817
Se 3.212 3.212 3.212

2.
3
Lattice="4.368 0.000 0.000 -2.184 3.783 0.000 0.000 0.000 3.744" Properties=species:S:1:pos:R:3 comment="GGA-PBE TlTcSe, relaxed" volume_a3_per_atom=20.6 dos_at_fermi_per_ev_atom=1.39 pbc="T T T"
Tl 0.000 0.000 0.000
Tc 0.000 2.522 1.872
Se 2.184 1.261 1.872

3.
3
Lattice="3.310 0.000 0.000 -1.655 2.867 0.000 0.000 0.000 6.655" Properties=species:S:1:pos:R:3 comment="GGA-PBE TlTcSe, relaxed" volume_a3_per_atom=21.0 dos_at_fermi_per_ev_atom=0.62 pbc="T T T"
Tl 0.000 0.000 0.000
Tc 1.655 0.956 4.360
Se 0.000 1.911 2.839

Which of them is most stable, and which least? Most stable: 3; least stable: 1.

1.
5
Lattice="4.502 0.000 0.000 0.000 4.502 0.000 0.000 0.000 4.502" Properties=species:S:1:pos:R:3 comment="GGA-PBE VTc3Se, relaxed" volume_a3_per_atom=18.3 dos_at_fermi_per_ev_atom=1.18 pbc="T T T"
V 0.000 0.000 0.000
Tc 0.000 2.251 2.251
Tc 2.251 0.000 2.251
Tc 2.251 2.251 0.000
Se 2.251 2.251 2.251

2.
5
Lattice="4.500 0.000 0.000 0.000 4.500 0.000 0.000 0.000 4.500" Properties=species:S:1:pos:R:3 comment="GGA-PBE VTc3Se, relaxed" volume_a3_per_atom=18.2 dos_at_fermi_per_ev_atom=1.37 pbc="T T T"
V 0.000 0.000 0.000
Tc 0.000 0.000 2.250
Tc 0.000 2.250 0.000
Tc 2.250 0.000 0.000
Se 2.250 2.250 2.250

Which of them is most stable, and which least? Most stable: 1; least stable: 2.